(1)
Entry from the Alexandria database: an optimized crystal structure of NbSb2Mo (PBE).

Properties
- density of states at the Fermi level (states/eV/atom) = 1.00
- formation energy without anion corrections (eV/atom) = 0.5307
- space group = I-42d (122)

a = 10.1819 Å, b = 10.1819 Å, c = 10.1819 Å
α = 156.13°, β = 156.13°, γ = 34.01°
With the nearest neighbours (Å) after each atom.
Fractional coordinates of all 8 atoms:
Nb1 0.0000 0.0000 0.0000  4 Sb 2.86, 4 Mo 2.98
Nb2 0.7500 0.2500 0.5000  4 Sb 2.86, 4 Mo 2.98
Sb1 0.1309 0.6250 0.0059  2 Mo 2.84, 2 Nb 2.86, 4 Sb 2.94-3.01
Sb2 0.3750 0.3809 0.5059  2 Mo 2.84, 2 Nb 2.86, 4 Sb 2.94-3.01
Sb3 0.6191 0.1250 0.9941  2 Mo 2.84, 2 Nb 2.86, 4 Sb 2.94-3.01
Sb4 0.8750 0.8691 0.4941  2 Mo 2.84, 2 Nb 2.86, 4 Sb 2.94-3.01
Mo1 0.2500 0.7500 0.5000  4 Sb 2.84, 4 Nb 2.98
Mo2 0.5000 0.5000 0.0000  4 Sb 2.84, 4 Nb 2.98

---

(2)
Entry from the Alexandria database: an optimized crystal structure of Nb3SbMo (PBE).

Properties
- density of states at the Fermi level (states/eV/atom) = 1.43
- formation energy without anion corrections (eV/atom) = 1.8580
- space group = Pm-3m (221)

a = 4.9423 Å, b = 4.9423 Å, c = 4.9423 Å
α = 90.00°, β = 90.00°, γ = 90.00°
With the nearest neighbours (Å) after each atom.
Fractional coordinates of all 5 atoms:
Nb1 0.0000 0.0000 0.5000  2 Sb 2.47
Nb2 0.0000 0.5000 0.0000  2 Sb 2.47
Nb3 0.5000 0.0000 0.0000  2 Sb 2.47
Sb1 0.0000 0.0000 0.0000  6 Nb 2.47
Mo1 0.5000 0.5000 0.5000  12 Nb 3.49

---

(3)
Entry from the Alexandria database: an optimized crystal structure of NbSbMo3 (PBE).

Properties
- density of states at the Fermi level (states/eV/atom) = 1.01
- formation energy without anion corrections (eV/atom) = 1.6905
- space group = Pm-3m (221)

a = 4.8095 Å, b = 4.8095 Å, c = 4.8095 Å
α = 90.00°, β = 90.00°, γ = 90.00°
With the nearest neighbours (Å) after each atom.
Fractional coordinates of all 5 atoms:
Nb1 0.0000 0.0000 0.0000  6 Mo 2.40
Sb1 0.5000 0.5000 0.5000  12 Mo 3.40
Mo1 0.0000 0.0000 0.5000  2 Nb 2.40
Mo2 0.0000 0.5000 0.0000  2 Nb 2.40
Mo3 0.5000 0.0000 0.0000  2 Nb 2.40

---

(4)
Entry from the Alexandria database: an optimized crystal structure of NbSb2TeMo (PBE).

Properties
- density of states at the Fermi level (states/eV/atom) = 0.86
- formation energy without anion corrections (eV/atom) = 1.0355
- space group = P4/mmm (123)

a = 5.1947 Å, b = 5.1947 Å, c = 5.3240 Å
α = 90.00°, β = 90.00°, γ = 90.00°
With the nearest neighbours (Å) after each atom.
Fractional coordinates of all 5 atoms:
Nb1 0.0000 0.0000 0.0000  4 Te 3.67, 8 Sb 3.72
Sb1 0.0000 0.5000 0.5000  2 Mo 2.60
Sb2 0.5000 0.0000 0.5000  2 Mo 2.60
Te1 0.5000 0.5000 0.0000  2 Mo 2.66
Mo1 0.5000 0.5000 0.5000  4 Sb 2.60, 2 Te 2.66

---

Calculated E_tot (eV per atom), listed in the same order as above: -6.756 -7.175 -7.647 -5.422